No. 1
Density functional theory data (PBE) for LaTbTlZn after structural relaxation.

Output
D(E_F): 3.530 states/eV/cell
Formation enthalpy at 0 K: -364 meV per atom
Offset from the most stable computed form: 0.0 meV/atom

a b c (Å): 3.753 3.753 7.708
angles (deg): 90.00 90.00 90.00
Element x y z (fractional)
1 La 0.000 0.000 0.836
2 Tb 0.000 0.000 0.381
3 Tl 0.500 0.500 0.127
4 Zn 0.500 0.500 0.584

No. 2
Density functional theory data (PBE) for LaTb2Tl2Zn2 after structural relaxation.

Output
D(E_F): 4.025 states/eV/cell
Formation enthalpy at 0 K: -206 meV per atom

a b c (Å): 4.816 4.816 9.641
angles (deg): 75.54 75.54 60.00
Element x y z (fractional)
1 La 0.000 0.000 0.000
2 Tb 0.132 0.132 0.605
3 Tb 0.868 0.868 0.395
4 Tl 0.737 0.737 0.789
5 Tl 0.263 0.263 0.211
6 Zn 0.574 0.574 0.277
7 Zn 0.426 0.426 0.723

No. 3
Density functional theory data (PBE) for LaTbTlZn after structural relaxation.

Output
D(E_F): 5.045 states/eV/cell
Formation enthalpy at 0 K: -333 meV per atom
Offset from the most stable computed form: 30.6 meV/atom

a b c (Å): 5.386 5.386 5.386
angles (deg): 60.00 60.00 60.00
Element x y z (fractional)
1 Tl 0.000 0.000 0.000
2 Tb 0.750 0.750 0.750
3 Zn 0.500 0.500 0.500
4 La 0.250 0.250 0.250

Question: What is the D(E_F) in the second record?
Answer: 4.025 states/eV/cell